<1>
This record from the Open Quantum Materials Database describes crystalline BaZnSn2Hg at its relaxed geometry. The functional is GGA-PBE.

Cell lengths 4.911, 4.911, 11.858 Å; angles 90.00, 90.00, 90.00 degrees
Element x y z (fractional)
Ba 0.500 0.000 0.767
Ba 0.000 0.500 0.233
Zn 0.500 0.500 0.000
Zn 0.000 0.000 0.000
Hg 0.000 0.500 0.648
Hg 0.500 0.000 0.352
Sn 0.000 0.000 0.500
Sn 0.500 0.000 0.113
Sn 0.500 0.500 0.500
Sn 0.000 0.500 0.887

Properties
**Volume**: 28.60 Å³ per atom
**SG**: P4/nmm


<2>
This record from the Open Quantum Materials Database describes crystalline BaZnSn2Hg at its relaxed geometry. The functional is GGA-PBE.

Cell lengths 6.775, 6.775, 6.775 Å; angles 136.53, 136.53, 63.16 degrees
Element x y z (fractional)
Ba 0.000 0.000 0.000
Sn 0.375 0.375 0.000
Sn 0.625 0.625 0.000
Hg 0.750 0.250 0.500
Zn 0.250 0.750 0.500

Properties
**Volume**: 29.06 Å³ per atom
**SG**: I-4m2


Which of them is most stable? Easy: <1>.


<1>
This record from the Open Quantum Materials Database describes crystalline BaSrHg at its relaxed geometry. The functional is GGA-PBE.

Cell lengths 7.885, 7.885, 7.885 Å; angles 149.61, 149.61, 43.51 degrees
Element x y z (fractional)
Hg 0.268 0.268 0.000
Ba 0.625 0.625 0.000
Sr 0.891 0.891 0.000

Properties
**Volume**: 41.71 Å³ per atom
**SG**: I4mm


<2>
This record from the Open Quantum Materials Database describes crystalline BaSrHg at its relaxed geometry. The functional is GGA-PBE.

Cell lengths 5.738, 5.738, 5.738 Å; angles 60.00, 60.00, 60.00 degrees
Element x y z (fractional)
Hg 0.000 0.000 0.000
Ba 0.250 0.250 0.250
Sr 0.750 0.750 0.750

Properties
**Volume**: 44.53 Å³ per atom
**SG**: F-43m


Which of them is most stable? Easy: <1>.


<1>
This record from the Open Quantum Materials Database describes crystalline BaSrTlHg at its relaxed geometry. The functional is GGA-PBE.

Cell lengths 5.725, 5.725, 5.725 Å; angles 60.00, 60.00, 60.00 degrees
Element x y z (fractional)
Sr 0.500 0.500 0.500
Hg 0.000 0.000 0.000
Tl 0.250 0.250 0.250
Ba 0.750 0.750 0.750

Properties
**Volume**: 33.17 Å³ per atom
**SG**: F-43m


<2>
This record from the Open Quantum Materials Database describes crystalline BaSrTlHg at its relaxed geometry. The functional is GGA-PBE.

Cell lengths 5.826, 5.826, 5.826 Å; angles 60.00, 60.00, 60.00 degrees
Element x y z (fractional)
Hg 0.000 0.000 0.000
Sr 0.250 0.250 0.250
Ba 0.750 0.750 0.750
Tl 0.500 0.500 0.500

Properties
**Volume**: 34.96 Å³ per atom
**SG**: F-43m


Which of them is most stable? Easy: <2>.


<1>
This record from the Open Quantum Materials Database describes crystalline BaZnHgTe3 at its relaxed geometry. The functional is GGA-PBE.

Cell lengths 7.661, 7.661, 12.023 Å; angles 90.00, 90.00, 34.02 degrees
Element x y z (fractional)
Te 0.932 0.932 0.750
Te 0.637 0.637 0.561
Te 0.068 0.068 0.250
Te 0.637 0.637 0.939
Te 0.363 0.363 0.061
Te 0.363 0.363 0.439
Ba 0.247 0.247 0.750
Ba 0.753 0.753 0.250
Zn 0.461 0.461 0.250
Zn 0.539 0.539 0.750
Hg 0.000 0.000 0.500
Hg 0.000 0.000 0.000

Properties
**Volume**: 32.90 Å³ per atom
**SG**: Cmcm


<2>
This record from the Open Quantum Materials Database describes crystalline BaZnHgTe3 at its relaxed geometry. The functional is GGA-PBE.

Cell lengths 7.767, 7.767, 11.917 Å; angles 90.00, 90.00, 146.99 degrees
Element x y z (fractional)
Ba 0.733 0.267 0.250
Ba 0.267 0.733 0.750
Te 0.873 0.127 0.957
Te 0.588 0.412 0.750
Te 0.127 0.873 0.457
Te 0.873 0.127 0.543
Te 0.127 0.873 0.043
Te 0.412 0.588 0.250
Zn 0.500 0.500 0.000
Zn 0.500 0.500 0.500
Hg 0.967 0.033 0.750
Hg 0.033 0.967 0.250

Properties
**Volume**: 32.64 Å³ per atom
**SG**: Cmcm


Which of them is most stable? Easy: <1>.